No. 1
Entry from Alexandria: a relaxed structure of Ga2AgPd8 (GGA-PBE).

Summary:
* spin magnetization: 0.00 Bohr magnetons per cell

Cell: 13.8515 4.0657 6.4118 Å, 90.00 110.01 90.00°
Closest atoms and distances in Å follow each position.
Space group C2/m (No. 12)
One atom of each set of equivalent atoms:
Ga1 0.2185 0.0000 0.1606 [4 per cell]  9 Pd 2.54-2.82
Ag1 0.0000 0.5000 0.5000 [2 per cell]  12 Pd 2.69-2.93
Pd1 0.0428 0.0000 0.2268 [4 per cell]  1 Ga 2.61, 8 Pd 2.74-2.91, 2 Ag 2.87
Pd2 0.1039 0.5000 0.9710 [4 per cell]  3 Ga 2.61-2.86, 7 Pd 2.74-2.91, 1 Ag 2.87
Pd3 0.1533 0.0000 0.7202 [4 per cell]  3 Ga 2.63-2.65, 6 Pd 2.77-2.88, 2 Ag 2.93
Pd4 0.1799 0.5000 0.4255 [4 per cell]  3 Ga 2.54-2.82, 1 Ag 2.69, 6 Pd 2.74-2.78


No. 2
Entry from Alexandria: a relaxed structure of GaAg3Pd (GGA-PBE).

Summary:
* spin magnetization: 0.00 Bohr magnetons per cell

Cell: 4.7735 4.7735 4.7735 Å, 90.00 90.00 90.00°
Closest atoms and distances in Å follow each position.
Space group Pm-3m (No. 221)
One atom of each set of equivalent atoms:
Ga1 0.0000 0.0000 0.0000 [1 per cell]  6 Ag 2.39
Ag1 0.0000 0.0000 0.5000 [3 per cell]  2 Ga 2.39
Pd1 0.5000 0.5000 0.5000 [1 per cell]  12 Ag 3.38


No. 3
Entry from Alexandria: a relaxed structure of GaAgPd (GGA-PBE).

Summary:
* spin magnetization: 0.00 Bohr magnetons per cell

Cell: 3.1550 3.1550 9.7356 Å, 90.00 90.00 90.00°
Closest atoms and distances in Å follow each position.
Space group I4mm (No. 107)
One atom of each set of equivalent atoms:
Ga1 0.0000 0.0000 0.0000 [2 per cell]  4 Pd 2.58, 4 Ag 2.80
Ag1 0.0000 0.0000 0.3255 [2 per cell]  4 Ga 2.80, 5 Pd 2.92-2.99
Pd1 0.0000 0.0000 0.6321 [2 per cell]  4 Ga 2.58


No. 4
Entry from Alexandria: a relaxed structure of Ga2AgPd8 (GGA-PBE).

Summary:
* spin magnetization: 0.00 Bohr magnetons per cell

Cell: 17.5985 2.9120 6.9284 Å, 90.00 104.90 90.00°
Closest atoms and distances in Å follow each position.
Space group C2/m (No. 12)
One atom of each set of equivalent atoms:
Ga1 0.2187 0.0000 0.2724 [4 per cell]  8 Pd 2.57-2.66
Ag1 0.0000 0.5000 0.5000 [2 per cell]  10 Pd 2.83-3.04, 2 Ag 2.91
Pd1 0.0452 0.0000 0.8616 [4 per cell]  9 Pd 2.72-2.91, 2 Ag 2.83
Pd2 0.0947 0.5000 0.2246 [4 per cell]  2 Ga 2.57, 7 Pd 2.77-2.84, 1 Ag 2.84
Pd3 0.1564 0.0000 0.5791 [4 per cell]  3 Ga 2.62-2.63, 6 Pd 2.82-2.91
Pd4 0.1801 0.5000 0.9400 [4 per cell]  3 Ga 2.59-2.66, 7 Pd 2.72-2.83


It is found that the E_form values, taken in the order of the records, are -3.83; 2.89; -0.88; -3.41 eV/f.u..
It is found that the total energy values, taken in the order of the records, are -4.934; -2.776; -3.982; -4.897 eV/atom.
It is found that the ΔE to the lowest computed polymorph values, taken in the order of the records, are 0; 0; 17; 37 meV/atom.